[1]
## InPb2I2 (PBE)

Data for crystalline InPb2I2 at its relaxed geometry.

abc: 8.272 8.272 5.308
angles: 90.00 90.00 90.00
Space group P4/mbm (No. 127)
Unique sites:
In: 0.000 0.000 0.000 x2
Pb: 0.149 0.351 0.000 x4
I: 0.182 0.682 0.500 x4

Its formation energy without anion corrections is -0.152 eV per atom. For the density of states at the Fermi level, the calculation gives 6.30 states/eV/cell. The calculation puts the final energy at -14.0 eV/f.u.

***

[2]
## In2PbI (PBE)

Data for crystalline In2PbI at its relaxed geometry.

abc: 6.974 6.974 15.480
angles: 90.00 90.00 90.00
Space group I-42d (No. 122)
Unique sites:
In: 0.213 0.250 0.125 x8
Pb: 0.000 0.000 0.000 x4
I: 0.000 0.000 0.500 x4

Its energy relative to the lowest polymorph listed for this composition is 0.121 eV/atom. Its formation energy without anion corrections is 0.055 eV per atom. For the density of states at the Fermi level, the calculation gives 5.26 states/eV/cell. The calculation puts the final energy at -10.5 eV/f.u.

***

[3]
## In3PbI6 (PBE)

Data for crystalline In3PbI6 at its relaxed geometry.

abc: 13.400 4.467 14.805
angles: 90.00 107.08 90.00
Space group P2_1/m (No. 11)
Unique sites:
In: 0.070 0.250 0.173 x2
In: 0.173 0.750 0.497 x2
In: 0.341 0.250 0.920 x2
Pb: 0.459 0.250 0.286 x2
I: 0.012 0.250 0.370 x2
I: 0.113 0.250 0.917 x2
I: 0.269 0.750 0.296 x2
I: 0.313 0.750 0.769 x2
I: 0.411 0.250 0.575 x2
I: 0.414 0.750 0.093 x2

Its formation energy without anion corrections is -0.455 eV per atom. For the density of states at the Fermi level, the calculation gives 6.77 states/eV/cell. The calculation puts the final energy at -25.8 eV/f.u.

***

Calculated values (g cm⁻³) of calculated density for the records, taken in order: 7.16, 4.97, 5.15.